Record 1
# Hg3PbAu2 | Alexandria | PBE-GGA | relaxed
data_Hg3PbAu2
_cell_length_a 14.8894
_cell_length_b 4.1837
_cell_length_c 12.0212
_cell_angle_alpha 90.00
_cell_angle_beta 127.47
_cell_angle_gamma 90.00
_symmetry_space_group_name_H-M 'C 1 2/m 1'
_symmetry_Int_Tables_number 12
loop_
_symmetry_equiv_pos_as_xyz
'x,y,z'
'-x,-y,-z'
'-x,y,-z'
'x,-y,z'
'x+1/2,y+1/2,z'
'-x+1/2,-y+1/2,-z'
'-x+1/2,y+1/2,-z'
'x+1/2,-y+1/2,z'
loop_
_atom_site_label
_atom_site_fract_x
_atom_site_fract_y
_atom_site_fract_z
Hg1 0.0387 0.0000 0.4036
Hg2 0.0549 0.0000 0.9189
Hg3 0.1435 0.5000 0.7260
Pb1 0.1483 0.5000 0.2356
Au1 0.2103 0.5000 0.5434
Au2 0.2275 0.5000 0.0610
# magnetic moment	0.00	μB per formula unit
# formation enthalpy at 0 K	0.098	eV/f.u.

=====

Record 2
# HgPb2Au3 | Alexandria | PBE-GGA | relaxed
data_HgPb2Au3
_cell_length_a 4.0790
_cell_length_b 4.3512
_cell_length_c 8.4953
_cell_angle_alpha 104.40
_cell_angle_beta 103.74
_cell_angle_gamma 90.30
_symmetry_space_group_name_H-M 'P -1'
_symmetry_Int_Tables_number 2
loop_
_symmetry_equiv_pos_as_xyz
'x,y,z'
'-x,-y,-z'
loop_
_atom_site_label
_atom_site_fract_x
_atom_site_fract_y
_atom_site_fract_z
Hg1 0.0000 0.0000 0.0000
Pb1 0.3216 0.8203 0.6449
Au1 0.1330 0.6351 0.2660
Au2 0.5000 0.5000 0.0000
# magnetic moment	0.00	μB per formula unit
# formation enthalpy at 0 K	-0.323	eV/f.u.
# energy above the most stable polymorph in this dataset	0	meV per atom

=====

Record 3
# Hg3Pb3Au2 | Alexandria | PBE-GGA | relaxed
data_Hg3Pb3Au2
_cell_length_a 4.0807
_cell_length_b 11.2825
_cell_length_c 17.9922
_cell_angle_alpha 90.00
_cell_angle_beta 90.00
_cell_angle_gamma 90.00
_symmetry_space_group_name_H-M 'C m c m'
_symmetry_Int_Tables_number 63
_symmetry_space_group_name_Hall '-C 2c 2'
loop_
_atom_site_label
_atom_site_fract_x
_atom_site_fract_y
_atom_site_fract_z
Hg1 0.0000 0.1113 0.2500
Hg2 0.0000 0.1378 0.5190
Pb1 0.0000 0.1588 0.7500
Pb2 0.0000 0.4412 0.6148
Au1 0.0000 0.2850 0.1253
# magnetic moment	0.00	μB per formula unit
# formation enthalpy at 0 K	-0.014	eV/f.u.

=====

Record 4
# Hg2PbAu | Alexandria | PBE-GGA | relaxed
data_Hg2PbAu
_cell_length_a 7.1658
_cell_length_b 4.3346
_cell_length_c 7.5802
_cell_angle_alpha 90.00
_cell_angle_beta 110.75
_cell_angle_gamma 90.00
_symmetry_space_group_name_H-M 'C 1 m 1'
_symmetry_Int_Tables_number 8
loop_
_symmetry_equiv_pos_as_xyz
'x,y,z'
'x,-y,z'
'x+1/2,y+1/2,z'
'x+1/2,-y+1/2,z'
loop_
_atom_site_label
_atom_site_fract_x
_atom_site_fract_y
_atom_site_fract_z
Hg1 0.0000 0.0000 0.0000
Hg2 0.2497 0.0000 0.7470
Pb1 0.4845 0.0000 0.4490
Au1 0.2407 0.5000 0.2230
# magnetic moment	0.00	μB per formula unit
# formation enthalpy at 0 K	0.056	eV/f.u.

=====

Record 5
# Hg5Pb12Au2 | Alexandria | PBE-GGA | relaxed
data_Hg5Pb12Au2
_cell_length_a 16.9250
_cell_length_b 7.3919
_cell_length_c 9.0183
_cell_angle_alpha 90.00
_cell_angle_beta 97.41
_cell_angle_gamma 90.00
_symmetry_space_group_name_H-M 'C 1 2/m 1'
_symmetry_Int_Tables_number 12
loop_
_symmetry_equiv_pos_as_xyz
'x,y,z'
'-x,-y,-z'
'-x,y,-z'
'x,-y,z'
'x+1/2,y+1/2,z'
'-x+1/2,-y+1/2,-z'
'-x+1/2,y+1/2,-z'
'x+1/2,-y+1/2,z'
loop_
_atom_site_label
_atom_site_fract_x
_atom_site_fract_y
_atom_site_fract_z
Hg1 0.0000 0.0000 0.0000
Hg2 0.1808 0.5000 0.7098
Hg3 0.2313 0.0000 0.7500
Pb1 0.0062 0.5000 0.1966
Pb2 0.0492 0.0000 0.6877
Pb3 0.1513 0.2564 0.0147
Pb4 0.1570 0.2220 0.4028
Au1 0.0000 0.3132 0.5000
# magnetic moment	0.00	μB per formula unit
# formation enthalpy at 0 K	0.638	eV/f.u.
# energy above the most stable polymorph in this dataset	2	meV per atom

=====

Record 6
# Hg2PbAu3 | Alexandria | PBE-GGA | relaxed
data_Hg2PbAu3
_cell_length_a 8.9368
_cell_length_b 10.9913
_cell_length_c 5.6123
_cell_angle_alpha 90.00
_cell_angle_beta 90.00
_cell_angle_gamma 90.00
_symmetry_space_group_name_H-M 'C m c m'
_symmetry_Int_Tables_number 63
_symmetry_space_group_name_Hall '-C 2c 2'
loop_
_atom_site_label
_atom_site_fract_x
_atom_site_fract_y
_atom_site_fract_z
Hg1 0.1885 0.0000 0.0000
Pb1 0.0000 0.2787 0.2500
Au1 0.0000 0.4560 0.7500
Au2 0.1634 0.2340 0.7500
# magnetic moment	0.00	μB per formula unit
# formation enthalpy at 0 K	0.238	eV/f.u.